SiB2PAu: relaxed, PBE.

The crystal system is tetragonal. As for the total magnetization: 0.0000 μB per atom. The density comes out at 6.21 g cm⁻³.

The structure belongs to space group P4/mmm (No. 123); the cell edges are 3.944, 3.944 and 4.772 Å and the angles 90.00°, 90.00° and 90.00°. The distinct sites, in fractional coordinates, are Si at (0.000, 0.000, 0.000), B at (0.000, 0.500, 0.000), P at (0.000, 0.000, 0.500) and Au at (0.500, 0.500, 0.500).


La2NdNpP4: relaxed, PBE.

The crystal system is monoclinic. The calculation puts the energy relative to the elements at -1.3621 eV per atom. As for the total magnetization: 0.4581 μB per atom. The density comes out at 6.36 g cm⁻³.

The structure belongs to space group P2/m (No. 10); the cell edges are 7.208, 4.156 and 7.226 Å and the angles 90.00°, 109.28° and 90.00°. The distinct sites, in fractional coordinates, are La at (0.000, 0.000, 0.000), La at (0.500, 0.500, 0.000), Nd at (0.000, 0.500, 0.500), Np at (0.500, 0.000, 0.500), P at (0.256, 0.000, 0.738) and P at (0.263, 0.500, 0.267).


NaLa3Ir: relaxed, PBE.

The crystal system is orthorhombic. For the relative energy among the computed polymorphs, the calculation gives 1.232 eV/f.u. The calculation puts the energy relative to the elements at -0.0780 eV per atom. As for the total magnetization: 0.0000 μB per atom. The density comes out at 6.14 g cm⁻³.

The structure belongs to space group Cmcm (No. 63); the cell edges are 8.672, 11.802 and 6.679 Å and the angles 90.00°, 90.00° and 90.00°. The distinct sites, in fractional coordinates, are Na at (0.000, 0.055, 0.250), La at (0.000, 0.500, 0.000), La at (0.190, 0.222, 0.750) and Ir at (0.000, 0.297, 0.250).


HoEr2ReO8: relaxed, PBE.

The crystal system is orthorhombic. As for the total magnetization: 0.0000 μB per atom. The density comes out at 8.04 g cm⁻³.

The structure belongs to space group Cmmm (No. 65); the cell edges are 7.043, 7.127 and 6.696 Å and the angles 90.00°, 90.00° and 90.00°. The distinct sites, in fractional coordinates, are Ho at (0.000, 0.000, 0.000), Er at (0.000, 0.500, 0.247), Re at (0.000, 0.000, 0.500), O at (0.000, 0.183, 0.292), O at (0.193, 0.500, 0.000) and O at (0.230, 0.500, 0.500).


Number 1: uncorrected energy -21.5 eV per cell, volume 74.3 Å³/cell. Number 2: uncorrected energy -60.1 eV per cell, volume 204.3 Å³/cell. Number 3: uncorrected energy -101.4 eV per cell, volume 683.6 Å³/cell. Number 4: uncorrected energy -199.3 eV per cell, volume 336.1 Å³/cell.